A plane-wave DFT calculation with PBE was carried out for a relaxed BaReSn2B crystal.

Output
Space-group type ... No. 123
DOS(E_F) ... 1.299 states/eV/atom
Calculated volume ... 155 Å³/f.u.
Crystal system ... tetragonal
E_form ... 2856 meV/atom
Total moment ... 0.099 Bohr magnetons per cell

Cell: 5.8518 4.5142 5.8518 Å, 90.00 90.00 90.00°
Fractional coordinates of all 5 atoms:
Sn  0.5000  0.0000  0.0000
Re  0.5000  0.5000  0.5000
Sn  0.0000  0.0000  0.5000
B  0.0000  0.5000  0.0000
Ba  0.0000  0.0000  0.0000